VASP calculation (PBE+U) on a relaxed PrVBrO4 crystal.

Summary:
* size of the total moment: 0.000 μB/atom
* E: -7.0044 eV/atom
* density: 4.09 g cm⁻³

abc: 6.893 6.893 7.001
angles: 79.29 79.29 57.05
Sites, in units of the cell vectors:
O: 0.882 0.470 0.876
Pr: 0.706 0.706 0.168
Br: 0.981 0.981 0.668
V: 0.367 0.367 0.256
O: 0.298 0.298 0.496
O: 0.510 0.510 0.239
O: 0.702 0.702 0.504
O: 0.470 0.882 0.876
O: 0.490 0.490 0.761
O: 0.118 0.530 0.124
O: 0.530 0.118 0.124
Br: 0.019 0.019 0.332
V: 0.633 0.633 0.744
Pr: 0.294 0.294 0.832